# NaCo3Os

A relaxed structure of NaCo3Os (GGA-PBE, Alexandria).

Lattice parameters (Å, degrees): 4.5492 4.5492 4.5492 90.00 90.00 90.00
Sites, in units of the cell vectors:
Co1 0.0000 0.5000 0.0000
Co2 0.0000 0.0000 0.5000
Co3 0.5000 0.0000 0.0000
Os1 0.0000 0.0000 0.0000
Na1 0.5000 0.5000 0.5000

Summary:
- DFT total energy (eV per atom) = -5.55
- energy of formation from the pure elements (eV per atom) = 1.22
- Fermi-level density of states (states/eV/f.u.) = 4.42
- total magnetization (μB per cell) = 3.39
- space group = No. 221